First-principles (PBE) data for an optimized crystal structure of LaCe2Nd3Te6, as listed in Alexandria.

abc: 7.8021 7.8021 7.8360
angles: 99.55 99.55 120.08
Last column: nearest neighbours and their distance in Å.
Positions (direct):
La (0.0000, 0.0000, 0.0000)  6 Te 3.21-3.23
Ce (0.3328, 0.6672, 0.0000)  6 Te 3.17-3.19
Ce (0.6672, 0.3328, 0.0000)  6 Te 3.17-3.19
Nd (0.1625, 0.8375, 0.5000)  6 Te 3.17-3.19
Nd (0.8375, 0.1625, 0.5000)  6 Te 3.17-3.19
Nd (0.5000, 0.5000, 0.5000)  6 Te 3.17-3.19
Te (0.9157, 0.5782, 0.7474)  2 Ce 3.18-3.19, 3 Nd 3.19, 1 La 3.23
Te (0.7450, 0.7450, 0.2484)  3 Nd 3.17, 2 Ce 3.17, 1 La 3.21
Te (0.0843, 0.4218, 0.2526)  2 Ce 3.18-3.19, 3 Nd 3.19, 1 La 3.23
Te (0.5782, 0.9157, 0.7474)  2 Ce 3.18-3.19, 3 Nd 3.19, 1 La 3.23
Te (0.2550, 0.2550, 0.7516)  3 Nd 3.17, 2 Ce 3.17, 1 La 3.21
Te (0.4218, 0.0843, 0.2526)  2 Ce 3.18-3.19, 3 Nd 3.19, 1 La 3.23

Output
- E (Ry/atom) = -0.41170
- V (A^3/atom) = 32.44
- formation energy without anion corrections (eV/f.u.) = -17.3



First-principles (PBE) data for an optimized crystal structure of Pd3SBr, as listed in Alexandria.

abc: 4.6031 4.6031 4.6031
angles: 90.00 90.00 90.00
Last column: nearest neighbours and their distance in Å.
Positions (direct):
S (0.0000, 0.0000, 0.0000)  6 Pd 2.30
Br (0.5000, 0.5000, 0.5000)  12 Pd 3.25
Pd (0.0000, 0.5000, 0.0000)  2 S 2.30
Pd (0.0000, 0.0000, 0.5000)  2 S 2.30
Pd (0.5000, 0.0000, 0.0000)  2 S 2.30

Output
- E (Ry/atom) = -0.31012
- E above lowest polymorph (meV per atom) = 0
- V (A^3/atom) = 19.51
- formation energy without anion corrections (eV/f.u.) = 0.3



formation energy without anion corrections of number 1 (LaCe2Nd3Te6)?
-17.3 eV/f.u.



What is the formation energy without anion corrections in the second record?
0.3 eV/f.u.